# LaTb2Ho6Er3 PBE-GGA relaxed
# E_tot: -4.589 eV/atom
# space-group type: No. 12
# total moment: 0.000 μB/atom
data_LaTb2Ho6Er3
_chemical_formula_sum 'La1 Tb2 Ho6 Er3'
_cell_length_a 6.140
_cell_length_b 6.140
_cell_length_c 11.748
_cell_angle_alpha 94.99
_cell_angle_beta 94.99
_cell_angle_gamma 119.96
_symmetry_space_group_name_H-M 'P 1'
_symmetry_Int_Tables_number 1
loop_
_symmetry_equiv_pos_as_xyz
'x,y,z'
loop_
_atom_site_label
_atom_site_fract_x
_atom_site_fract_y
_atom_site_fract_z
La1 0.000 0.000 0.000
Tb1 0.333 0.667 0.000
Tb2 0.667 0.333 0.000
Ho1 0.085 0.420 0.254
Ho2 0.249 0.249 0.746
Ho3 0.420 0.085 0.254
Ho4 0.580 0.915 0.746
Ho5 0.751 0.751 0.254
Ho6 0.915 0.580 0.746
Er1 0.167 0.833 0.500
Er2 0.500 0.500 0.500
Er3 0.833 0.167 0.500